Material: TlIn4W
Method: DFT, PBE
State: optimized geometry

abc: 5.836 5.836 5.836
angles: 60.00 60.00 60.00
Element x y z (fractional)
W 0.000 0.000 0.000
In 0.374 0.374 0.374
In 0.877 0.374 0.374
Tl 0.750 0.750 0.750
In 0.374 0.374 0.877
In 0.374 0.877 0.374

Computed properties:
size of the total moment: 0.0 Bohr magnetons per cell
formation energy from the elements: 0.81 eV/atom